# MnCdSb2Te

A geometry-optimized MnCdSb2Te structure (PBE, the Alexandria database).

Cell lengths 4.8269, 4.8269, 5.7500 Å; angles 90.00, 90.00, 90.00 degrees
Positions (direct):
Sb 0.5000 0.0000 0.0000
Sb 0.0000 0.5000 0.0000
Cd 0.5000 0.5000 0.5000
Te 0.0000 0.0000 0.5000
Mn 0.0000 0.0000 0.0000

Calculated values
Offset from the most stable computed form: 0.0 meV per atom
DOS(E_F): 6.82 states/eV per cell
M_tot: 0.00 μB per formula unit
Formation energy without anion corrections: 1.91 eV per formula unit
E_tot: -3.91 eV per atom